No. 1
The following is a DFT calculation (meta-GGA SCAN) of a crystal of Cs2ScCuCl6 relaxed with PBEsol.

Computed properties:
E_form (uncorrected)	-1.9791	eV per atom
D(E_F)	0.000	states/eV/f.u.

a = 10.019 Å, b = 10.019 Å, c = 10.019 Å
α = 90.00°, β = 90.00°, γ = 90.00°
Space group Fm-3m (No. 225)
One atom of each set of equivalent atoms:
Cs  0.250  0.250  0.250 (multiplicity 8)
Sc  0.000  0.000  0.000 (multiplicity 4)
Cu  0.000  0.000  0.500 (multiplicity 4)
Cl  0.000  0.000  0.249 (multiplicity 24)

***

No. 2
The following is a DFT calculation (meta-GGA SCAN) of a crystal of SrSc2Cd relaxed with PBEsol.

Computed properties:
formation energy	37	kJ/mol of formula units
polymorph energy (0 for the lowest one)	0.000	eV/atom
D(E_F)	4.600	states/eV/f.u.

a = 4.672 Å, b = 4.672 Å, c = 4.805 Å
α = 90.00°, β = 90.00°, γ = 90.00°
Space group P4/mmm (No. 123)
One atom of each set of equivalent atoms:
Sr  0.000  0.000  0.000 (multiplicity 1)
Sc  0.000  0.500  0.500 (multiplicity 2)
Cd  0.500  0.500  0.000 (multiplicity 1)

***

No. 3
The following is a DFT calculation (meta-GGA SCAN) of a crystal of Rb3IrPt relaxed with PBEsol.

Computed properties:
formation energy	529	kJ/mol of formula units
D(E_F)	11.545	states/eV/f.u.

a = 5.939 Å, b = 5.939 Å, c = 5.939 Å
α = 90.00°, β = 90.00°, γ = 90.00°
Space group Pm-3m (No. 221)
One atom of each set of equivalent atoms:
Rb  0.000  0.000  0.500 (multiplicity 3)
Ir  0.000  0.000  0.000 (multiplicity 1)
Pt  0.500  0.500  0.500 (multiplicity 1)

***

No. 4
The following is a DFT calculation (meta-GGA SCAN) of a crystal of MgCoCu2 relaxed with PBEsol.

Computed properties:
formation energy	16	kJ/mol of formula units
D(E_F)	1.572	states/eV/f.u.

a = 3.665 Å, b = 3.665 Å, c = 7.283 Å
α = 90.00°, β = 90.00°, γ = 90.00°
Space group I-4m2 (No. 119)
One atom of each set of equivalent atoms:
Mg  0.000  0.000  0.000 (multiplicity 2)
Co  0.000  0.500  0.250 (multiplicity 2)
Cu  0.000  0.000  0.500 (multiplicity 2)
Cu  0.000  0.500  0.750 (multiplicity 2)

***

No. 5
The following is a DFT calculation (meta-GGA SCAN) of a crystal of RbSb2TeF relaxed with PBEsol.

Computed properties:
E_form (uncorrected)	1.0682	eV per atom
D(E_F)	9.669	states/eV/f.u.

a = 7.412 Å, b = 7.412 Å, c = 7.087 Å
α = 90.00°, β = 90.00°, γ = 90.00°
Space group P4/mmm (No. 123)
One atom of each set of equivalent atoms:
Rb  0.000  0.000  0.000 (multiplicity 1)
Sb  0.000  0.500  0.000 (multiplicity 2)
Te  0.000  0.000  0.500 (multiplicity 1)
F  0.500  0.500  0.500 (multiplicity 1)

***

No. 6
The following is a DFT calculation (meta-GGA SCAN) of a crystal of Ce3B2N4 relaxed with PBEsol.

Computed properties:
E_form (uncorrected)	-1.5914	eV per atom
D(E_F)	6.060	states/eV/f.u.

a = 3.455 Å, b = 6.154 Å, c = 10.450 Å
α = 90.00°, β = 90.00°, γ = 90.00°
Space group Immm (No. 71)
One atom of each set of equivalent atoms:
Ce  0.000  0.000  0.000 (multiplicity 2)
Ce  0.000  0.500  0.196 (multiplicity 4)
B  0.000  0.143  0.500 (multiplicity 4)
N  0.000  0.264  0.377 (multiplicity 8)

***

No. 7
The following is a DFT calculation (meta-GGA SCAN) of a crystal of Al7Cr relaxed with PBEsol.

Computed properties:
formation energy	-97	kJ/mol of formula units
D(E_F)	3.198	states/eV/f.u.

a = 7.900 Å, b = 7.900 Å, c = 7.900 Å
α = 90.00°, β = 90.00°, γ = 90.00°
Space group Fm-3m (No. 225)
One atom of each set of equivalent atoms:
Al  0.000  0.000  0.000 (multiplicity 4)
Al  0.000  0.250  0.250 (multiplicity 24)
Cr  0.000  0.000  0.500 (multiplicity 4)

***

No. 8
The following is a DFT calculation (meta-GGA SCAN) of a crystal of Sc2TlSbRu relaxed with PBEsol.

Computed properties:
E_form (uncorrected)	1.0019	eV per atom
D(E_F)	4.397	states/eV/f.u.

a = 5.212 Å, b = 5.212 Å, c = 5.383 Å
α = 90.00°, β = 90.00°, γ = 90.00°
Space group P4/mmm (No. 123)
One atom of each set of equivalent atoms:
Sc  0.000  0.500  0.000 (multiplicity 2)
Tl  0.000  0.000  0.500 (multiplicity 1)
Sb  0.000  0.000  0.000 (multiplicity 1)
Ru  0.500  0.500  0.500 (multiplicity 1)

***

| no. | E_tot (eV per atom) |
| --- | --- |
| 1 | -17.272 |
| 2 | -20.195 |
| 3 | -39.606 |
| 4 | -13.127 |
| 5 | -26.142 |
| 6 | -22.226 |
| 7 | -9.206 |
| 8 | -33.582 |